(1)
# Pr2AlPt2

A geometry-optimized Pr2AlPt2 structure (PBE-GGA, Alexandria).

## Properties
Calculated density, Mg/m³: 9.3
Formation enthalpy at 0 K, eV/atom: -0.962
Space group: No. 72
Crystal system: orthorhombic

Unit cell a=5.992 b=7.286 c=7.402 alpha=119.48 beta=113.88 gamma=90.00
Fractional positions:
1 Pr 0.851 0.691 0.701
2 Pr 0.149 0.309 0.299
3 Pr 0.649 0.990 0.299
4 Pr 0.351 0.010 0.701
5 Al 0.750 0.500 0.000
6 Al 0.250 0.500 0.000
7 Pt 0.398 0.638 0.796
8 Pt 0.602 0.362 0.204
9 Pt 0.102 0.842 0.204
10 Pt 0.898 0.158 0.796


(2)
# Pr2AlPt6

A geometry-optimized Pr2AlPt6 structure (PBE-GGA, Alexandria).

## Properties
Calculated density, Mg/m³: 14.2
Formation enthalpy at 0 K, eV/atom: -1.008
Space group: No. 12
Crystal system: monoclinic

Unit cell a=5.720 b=5.698 c=6.317 alpha=77.82 beta=90.00 gamma=120.13
Fractional positions:
1 Pr 0.644 0.288 0.146
2 Pr 0.356 0.712 0.854
3 Al 0.000 0.000 0.000
4 Pt 0.877 0.269 0.689
5 Pt 0.881 0.762 0.690
6 Pt 0.391 0.269 0.689
7 Pt 0.123 0.731 0.311
8 Pt 0.119 0.238 0.310
9 Pt 0.609 0.731 0.311


(3)
# Pr2Al12Pt7

A geometry-optimized Pr2Al12Pt7 structure (PBE-GGA, Alexandria).

## Properties
Calculated density, Mg/m³: 9.0
Formation enthalpy at 0 K, eV/atom: -1.004
Space group: No. 174
Crystal system: hexagonal

Unit cell a=4.207 b=10.006 c=10.006 alpha=120.00 beta=90.00 gamma=90.00
Fractional positions:
1 Pr 0.500 0.000 0.000
2 Pr 0.000 0.667 0.333
3 Al 0.500 0.925 0.614
4 Al 0.500 0.689 0.075
5 Al 0.500 0.386 0.311
6 Al 0.500 0.247 0.794
7 Al 0.500 0.547 0.753
8 Al 0.500 0.206 0.453
9 Al 0.000 0.043 0.510
10 Al 0.000 0.467 0.957
11 Al 0.000 0.490 0.533
12 Al 0.000 0.805 0.722
13 Al 0.000 0.917 0.195
14 Al 0.000 0.278 0.083
15 Pt 0.000 0.333 0.667
16 Pt 0.000 0.084 0.782
17 Pt 0.000 0.699 0.916
18 Pt 0.000 0.218 0.301
19 Pt 0.500 0.654 0.570
20 Pt 0.500 0.916 0.346
21 Pt 0.500 0.430 0.084


(4)
# Pr3AlPt8

A geometry-optimized Pr3AlPt8 structure (PBE-GGA, Alexandria).

## Properties
Calculated density, Mg/m³: 14.2
Formation enthalpy at 0 K, eV/atom: -0.932
Space group: No. 160
Crystal system: trigonal

Unit cell a=5.515 b=5.515 c=9.506 alpha=73.14 beta=73.14 gamma=60.00
Fractional positions:
1 Pr 0.621 0.621 0.137
2 Pr 0.011 0.011 0.966
3 Pr 0.490 0.490 0.529
4 Al 0.150 0.150 0.550
5 Pt 0.561 0.057 0.821
6 Pt 0.059 0.563 0.320
7 Pt 0.561 0.561 0.821
8 Pt 0.059 0.059 0.320
9 Pt 0.809 0.809 0.574
10 Pt 0.310 0.310 0.071
11 Pt 0.057 0.561 0.821
12 Pt 0.563 0.059 0.320


(5)
# Pr3Al3Pt2

A geometry-optimized Pr3Al3Pt2 structure (PBE-GGA, Alexandria).

## Properties
Calculated density, Mg/m³: 8.0
Formation enthalpy at 0 K, eV/atom: -0.836
Space group: No. 62
Crystal system: orthorhombic

Unit cell a=6.022 b=8.132 c=15.218 alpha=90.00 beta=90.00 gamma=90.00
Fractional positions:
1 Pr 0.116 0.472 0.391
2 Pr 0.616 0.028 0.609
3 Pr 0.884 0.528 0.891
4 Pr 0.384 0.972 0.109
5 Pr 0.884 0.528 0.609
6 Pr 0.384 0.972 0.391
7 Pr 0.116 0.472 0.109
8 Pr 0.616 0.028 0.891
9 Pr 0.616 0.334 0.250
10 Pr 0.116 0.166 0.750
11 Pr 0.384 0.666 0.750
12 Pr 0.884 0.834 0.250
13 Al 0.099 0.184 0.250
14 Al 0.599 0.316 0.750
15 Al 0.901 0.816 0.750
16 Al 0.401 0.684 0.250
17 Al 0.601 0.334 0.463
18 Al 0.101 0.166 0.537
19 Al 0.399 0.666 0.963
20 Al 0.899 0.834 0.037
21 Al 0.399 0.666 0.537
22 Al 0.899 0.834 0.463
23 Al 0.601 0.334 0.037
24 Al 0.101 0.166 0.963
25 Pt 0.870 0.126 0.397
26 Pt 0.370 0.374 0.603
27 Pt 0.130 0.874 0.897
28 Pt 0.630 0.626 0.103
29 Pt 0.130 0.874 0.603
30 Pt 0.630 0.626 0.397
31 Pt 0.870 0.126 0.103
32 Pt 0.370 0.374 0.897


(6)
# PrAl6Pt4

A geometry-optimized PrAl6Pt4 structure (PBE-GGA, Alexandria).

## Properties
Calculated density, Mg/m³: 9.5
Formation enthalpy at 0 K, eV/atom: -1.039
Space group: No. 187
Crystal system: hexagonal

Unit cell a=4.068 b=7.328 c=7.328 alpha=120.00 beta=90.00 gamma=90.00
Fractional positions:
1 Pr 0.000 0.000 0.000
2 Al 0.000 0.533 0.067
3 Al 0.500 0.600 0.800
4 Al 0.000 0.533 0.467
5 Al 0.000 0.933 0.467
6 Al 0.500 0.200 0.800
7 Al 0.500 0.200 0.400
8 Pt 0.500 0.799 0.598
9 Pt 0.500 0.402 0.201
10 Pt 0.500 0.799 0.201
11 Pt 0.000 0.333 0.667


(7)
# PrAl3Pt

A geometry-optimized PrAl3Pt structure (PBE-GGA, Alexandria).

## Properties
Calculated density, Mg/m³: 6.9
Formation enthalpy at 0 K, eV/atom: -0.822
Space group: No. 62
Crystal system: orthorhombic

Unit cell a=4.277 b=8.428 c=11.098 alpha=90.00 beta=90.00 gamma=90.00
Fractional positions:
1 Pr 0.750 0.814 0.016
2 Pr 0.250 0.686 0.516
3 Pr 0.750 0.314 0.484
4 Pr 0.250 0.186 0.984
5 Al 0.250 0.560 0.084
6 Al 0.750 0.440 0.916
7 Al 0.250 0.060 0.416
8 Al 0.750 0.940 0.584
9 Al 0.250 0.380 0.703
10 Al 0.750 0.120 0.203
11 Al 0.250 0.880 0.797
12 Al 0.750 0.641 0.721
13 Al 0.250 0.359 0.279
14 Al 0.750 0.141 0.779
15 Al 0.750 0.620 0.297
16 Al 0.250 0.859 0.221
17 Pt 0.250 0.094 0.647
18 Pt 0.250 0.594 0.853
19 Pt 0.750 0.406 0.147
20 Pt 0.750 0.906 0.353


(8)
# PrAlPt3

A geometry-optimized PrAlPt3 structure (PBE-GGA, Alexandria).

## Properties
Calculated density, Mg/m³: 13.3
Formation enthalpy at 0 K, eV/atom: -0.965
Space group: No. 62
Crystal system: orthorhombic

Unit cell a=4.160 b=8.459 c=10.706 alpha=90.00 beta=90.00 gamma=90.00
Fractional positions:
1 Pr 0.750 0.819 0.010
2 Pr 0.250 0.681 0.510
3 Pr 0.750 0.319 0.490
4 Pr 0.250 0.181 0.990
5 Al 0.250 0.101 0.643
6 Al 0.250 0.601 0.857
7 Al 0.750 0.399 0.143
8 Al 0.750 0.899 0.357
9 Pt 0.250 0.568 0.086
10 Pt 0.750 0.432 0.914
11 Pt 0.250 0.068 0.414
12 Pt 0.750 0.932 0.586
13 Pt 0.250 0.385 0.704
14 Pt 0.750 0.115 0.204
15 Pt 0.250 0.885 0.796
16 Pt 0.750 0.650 0.720
17 Pt 0.250 0.350 0.280
18 Pt 0.750 0.150 0.780
19 Pt 0.750 0.615 0.296
20 Pt 0.250 0.850 0.220


(9)
# PrAl4Pt2

A geometry-optimized PrAl4Pt2 structure (PBE-GGA, Alexandria).

## Properties
Calculated density, Mg/m³: 8.3
Formation enthalpy at 0 K, eV/atom: -0.889
Space group: No. 136
Crystal system: tetragonal

Unit cell a=4.138 b=7.874 c=7.874 alpha=90.00 beta=90.00 gamma=90.00
Fractional positions:
1 Pr 0.500 0.000 0.000
2 Pr 0.000 0.500 0.500
3 Al 0.000 0.083 0.337
4 Al 0.000 0.917 0.663
5 Al 0.500 0.163 0.583
6 Al 0.500 0.837 0.417
7 Al 0.500 0.417 0.837
8 Al 0.500 0.583 0.163
9 Al 0.000 0.337 0.083
10 Al 0.000 0.663 0.917
11 Pt 0.000 0.219 0.781
12 Pt 0.000 0.781 0.219
13 Pt 0.500 0.719 0.719
14 Pt 0.500 0.281 0.281


(10)
# Pr3Al4Pt4

A geometry-optimized Pr3Al4Pt4 structure (PBE-GGA, Alexandria).

## Properties
Calculated density, Mg/m³: 9.7
Formation enthalpy at 0 K, eV/atom: -1.076
Space group: No. 71
Crystal system: orthorhombic

Unit cell a=4.248 b=7.293 c=8.373 alpha=115.82 beta=104.69 gamma=90.00
Fractional positions:
1 Pr 0.120 0.120 0.239
2 Pr 0.880 0.880 0.761
3 Pr 0.000 0.500 0.000
4 Al 0.321 0.126 0.643
5 Al 0.679 0.484 0.357
6 Al 0.679 0.874 0.357
7 Al 0.321 0.516 0.643
8 Pt 0.217 0.717 0.435
9 Pt 0.783 0.283 0.565
10 Pt 0.500 0.790 0.000
11 Pt 0.500 0.210 0.000


(11)
# PrAlPt3

A geometry-optimized PrAlPt3 structure (PBE-GGA, Alexandria).

## Properties
Calculated density, Mg/m³: 12.0
Formation enthalpy at 0 K, eV/atom: -0.674
Space group: No. 65
Crystal system: orthorhombic

Unit cell a=4.725 b=5.857 c=7.538 alpha=90.00 beta=90.00 gamma=90.00
Fractional positions:
1 Pr 0.500 0.000 0.000
2 Pr 0.500 0.500 0.500
3 Al 0.000 0.500 0.000
4 Al 0.000 0.000 0.500
5 Pt 0.500 0.500 0.000
6 Pt 0.500 0.000 0.500
7 Pt 0.000 0.750 0.250
8 Pt 0.000 0.250 0.250
9 Pt 0.000 0.250 0.750
10 Pt 0.000 0.750 0.750


(12)
# Pr2Al6Pt

A geometry-optimized Pr2Al6Pt structure (PBE-GGA, Alexandria).

## Properties
Calculated density, Mg/m³: 5.8
Formation enthalpy at 0 K, eV/atom: -0.592
Space group: No. 164
Crystal system: trigonal

Unit cell a=5.888 b=5.978 c=5.978 alpha=60.00 beta=90.00 gamma=90.00
Fractional positions:
1 Pr 0.854 0.667 0.667
2 Pr 0.146 0.333 0.333
3 Al 0.321 0.345 0.828
4 Al 0.321 0.828 0.828
5 Al 0.321 0.828 0.345
6 Al 0.679 0.655 0.172
7 Al 0.679 0.172 0.172
8 Al 0.679 0.172 0.655
9 Pt 0.000 0.000 0.000


(13)
# PrAl2Pt3

A geometry-optimized PrAl2Pt3 structure (PBE-GGA, Alexandria).

## Properties
Calculated density, Mg/m³: 11.4
Formation enthalpy at 0 K, eV/atom: -1.053
Space group: No. 63
Crystal system: orthorhombic

Unit cell a=5.455 b=6.517 c=6.517 alpha=101.93 beta=90.00 gamma=90.00
Fractional positions:
1 Pr 0.250 0.324 0.324
2 Pr 0.750 0.676 0.676
3 Al 0.500 0.787 0.213
4 Al 0.000 0.787 0.213
5 Al 0.000 0.213 0.787
6 Al 0.500 0.213 0.787
7 Pt 0.750 0.467 0.124
8 Pt 0.750 0.124 0.467
9 Pt 0.250 0.533 0.876
10 Pt 0.750 0.040 0.040
11 Pt 0.250 0.960 0.960
12 Pt 0.250 0.876 0.533


(14)
# PrAl2Pt2

A geometry-optimized PrAl2Pt2 structure (PBE-GGA, Alexandria).

## Properties
Calculated density, Mg/m³: 9.9
Formation enthalpy at 0 K, eV/atom: -1.108
Space group: No. 139
Crystal system: tetragonal

Unit cell a=4.182 b=4.182 c=6.350 alpha=109.22 beta=109.22 gamma=90.00
Fractional positions:
1 Pr 0.000 0.000 0.000
2 Al 0.750 0.250 0.500
3 Al 0.250 0.750 0.500
4 Pt 0.622 0.622 0.244
5 Pt 0.378 0.378 0.756


(15)
# Pr4Al12Pt

A geometry-optimized Pr4Al12Pt structure (PBE-GGA, Alexandria).

## Properties
Calculated density, Mg/m³: 5.2
Formation enthalpy at 0 K, eV/atom: -0.548
Space group: No. 229
Crystal system: cubic

Unit cell a=7.664 b=7.664 c=7.664 alpha=109.47 beta=109.47 gamma=109.47
Fractional positions:
1 Pr 0.000 0.000 0.500
2 Pr 0.500 0.000 0.000
3 Pr 0.500 0.500 0.500
4 Pr 0.000 0.500 0.000
5 Al 0.000 0.292 0.292
6 Al 0.000 0.708 0.708
7 Al 0.708 0.708 0.000
8 Al 0.292 0.292 0.000
9 Al 0.292 0.000 0.292
10 Al 0.708 0.000 0.708
11 Al 0.500 0.250 0.750
12 Al 0.500 0.750 0.250
13 Al 0.750 0.250 0.500
14 Al 0.250 0.750 0.500
15 Al 0.750 0.500 0.250
16 Al 0.250 0.500 0.750
17 Pt 0.000 0.000 0.000


(16)
# Pr2AlPt7

A geometry-optimized Pr2AlPt7 structure (PBE-GGA, Alexandria).

## Properties
Calculated density, Mg/m³: 14.0
Formation enthalpy at 0 K, eV/atom: -0.754
Space group: No. 115
Crystal system: tetragonal

Unit cell a=4.006 b=4.006 c=12.391 alpha=90.00 beta=90.00 gamma=90.00
Fractional positions:
1 Pr 0.500 0.000 0.734
2 Pr 0.000 0.500 0.266
3 Al 0.500 0.500 0.000
4 Pt 0.000 0.500 0.860
5 Pt 0.500 0.000 0.348
6 Pt 0.500 0.000 0.140
7 Pt 0.000 0.500 0.652
8 Pt 0.000 0.000 0.500
9 Pt 0.000 0.000 0.000
10 Pt 0.500 0.500 0.500


(17)
# PrAl5Pt3

A geometry-optimized PrAl5Pt3 structure (PBE-GGA, Alexandria).

## Properties
Calculated density, Mg/m³: 8.6
Formation enthalpy at 0 K, eV/atom: -0.947
Space group: No. 63
Crystal system: orthorhombic

Unit cell a=4.084 b=6.799 c=12.626 alpha=90.00 beta=90.00 gamma=107.48
Fractional positions:
1 Pr 0.837 0.674 0.750
2 Pr 0.163 0.326 0.250
3 Al 0.800 0.600 0.435
4 Al 0.200 0.400 0.935
5 Al 0.000 0.000 0.500
6 Al 0.000 0.000 0.000
7 Al 0.445 0.889 0.149
8 Al 0.555 0.111 0.851
9 Al 0.555 0.111 0.649
10 Al 0.800 0.600 0.065
11 Al 0.200 0.400 0.565
12 Al 0.445 0.889 0.351
13 Pt 0.387 0.775 0.957
14 Pt 0.878 0.757 0.250
15 Pt 0.387 0.775 0.543
16 Pt 0.613 0.225 0.457
17 Pt 0.122 0.243 0.750
18 Pt 0.613 0.225 0.043


(18)
# PrAl3Pt3

A geometry-optimized PrAl3Pt3 structure (PBE-GGA, Alexandria).

## Properties
Calculated density, Mg/m³: 8.5
Formation enthalpy at 0 K, eV/atom: -0.663
Space group: No. 223
Crystal system: cubic

Unit cell a=6.794 b=6.794 c=6.794 alpha=90.00 beta=90.00 gamma=90.00
Fractional positions:
1 Pr 0.500 0.500 0.500
2 Pr 0.000 0.000 0.000
3 Al 0.000 0.250 0.500
4 Al 0.000 0.750 0.500
5 Al 0.500 0.000 0.750
6 Al 0.750 0.500 0.000
7 Al 0.500 0.000 0.250
8 Al 0.250 0.500 0.000
9 Pt 0.250 0.000 0.500
10 Pt 0.000 0.500 0.250
11 Pt 0.500 0.750 0.000
12 Pt 0.750 0.000 0.500
13 Pt 0.000 0.500 0.750
14 Pt 0.500 0.250 0.000